Below is crystalline SmPdPt at its relaxed geometry, with properties calculated at the PBE-GGA level.

Summary:
calculated volume	23.831	Å³/atom
formation enthalpy at 0 K	-0.408	eV/atom
raw total energy	-5.72	eV/atom
M_tot	0.0	μB/f.u.

Unit cell a=6.588 b=6.588 c=6.588 alpha=90.00 beta=90.00 gamma=90.00
Space group F-43m (No. 216)
Symmetry-distinct sites (fractional):
Sm 0.000 0.000 0.000 (multiplicity 4)
Pd 0.250 0.250 0.750 (multiplicity 4)
Pt 0.250 0.250 0.250 (multiplicity 4)